[1]
Density functional theory data (PBE) for Ti4Ir3W after structural relaxation.

Summary:
Symmetry: I4/mmm, No. 139

Lattice parameters (Å, degrees): 4.4341 4.4341 6.9336 108.68 108.65 90.00
Closest atoms and distances in Å follow each position.
Positions (direct):
Ir 0.0000 0.5000 0.0000  8 Ti 2.70
Ir 0.7511 0.2510 0.5022  8 Ti 2.70-2.72
Ir 0.2489 0.7490 0.4978  8 Ti 2.70-2.72
W 0.5000 0.0000 0.0000  8 Ti 2.70
Ti 0.3756 0.3758 0.7513  2 W 2.70, 6 Ir 2.70-2.72
Ti 0.6244 0.6242 0.2487  2 W 2.70, 6 Ir 2.70-2.72
Ti 0.1244 0.1243 0.2487  6 Ir 2.70-2.71, 2 W 2.70
Ti 0.8756 0.8757 0.7513  6 Ir 2.70-2.71, 2 W 2.70

***

[2]
Density functional theory data (PBE) for TiIr4W after structural relaxation.

Summary:
Symmetry: C2/m, No. 12

Lattice parameters (Å, degrees): 2.7601 4.8171 7.2999 97.21 79.10 73.35
Closest atoms and distances in Å follow each position.
Positions (direct):
Ti 0.5000 0.5000 0.5000  10 Ir 2.74-2.81, 2 Ti 2.76
Ir 0.8337 0.5000 0.8326  2 Ti 2.75, 3 W 2.76-2.80, 7 Ir 2.76-2.77
Ir 0.3309 0.0045 0.3338  3 Ti 2.74-2.81, 2 W 2.76, 7 Ir 2.76-2.77
Ir 0.1663 0.5000 0.1674  2 Ti 2.75, 3 W 2.76-2.80, 7 Ir 2.76-2.77
Ir 0.6691 0.9955 0.6662  3 Ti 2.74-2.81, 2 W 2.76, 7 Ir 2.76-2.77
W 0.0000 0.0000 0.0000  10 Ir 2.76-2.80, 2 W 2.76

***

[3]
Density functional theory data (PBE) for TiIrW3 after structural relaxation.

Summary:
Symmetry: Pm-3m, No. 221
Energy relative to the lowest polymorph listed for this composition, meV/atom: 0

Lattice parameters (Å, degrees): 4.7365 4.7365 4.7365 90.00 90.00 90.00
Closest atoms and distances in Å follow each position.
Positions (direct):
Ir 0.0000 0.0000 0.0000  6 W 2.37
W 0.0000 0.5000 0.0000  2 Ir 2.37
W 0.0000 0.0000 0.5000  2 Ir 2.37
W 0.5000 0.0000 0.0000  2 Ir 2.37
Ti 0.5000 0.5000 0.5000  12 W 3.35

***

Number 1: formation energy from the elements -0.7273 eV/atom, calculated volume 122 Å³/f.u.. Number 2: formation energy from the elements -0.3746 eV/atom, calculated volume 90 Å³/f.u.. Number 3: formation energy from the elements 1.7648 eV/atom, calculated volume 106 Å³/f.u..